# 1
This record from Alexandria describes HPbS2Cl after structural relaxation. The functional is GGA-PBE.

Unit cell a=4.108 b=4.108 c=6.874 alpha=90.00 beta=90.00 gamma=90.00
Sites, in units of the cell vectors:
Cl1 0.000 0.000 0.500
Pb1 0.500 0.500 0.500
S1 0.500 0.000 0.000
S2 0.000 0.500 0.000
H1 0.000 0.000 0.000

- SG: No. 123
- Total DFT energy (no corrections): -3.18 eV/atom
- Energy above the most stable polymorph in this dataset: 0.0 meV/atom
- Calculated density: 4.41 g cm⁻³
- DOS at the Fermi energy: 0.211 states/eV per atom


# 2
This record from Alexandria describes H2PbSeCl after structural relaxation. The functional is GGA-PBE.

Unit cell a=4.031 b=4.031 c=5.966 alpha=90.00 beta=90.00 gamma=90.00
Sites, in units of the cell vectors:
H1 0.500 0.000 0.000
Cl1 0.500 0.500 0.500
H2 0.000 0.500 0.000
Pb1 0.000 0.000 0.000
Se1 0.000 0.000 0.500

- SG: No. 123
- Total DFT energy (no corrections): -2.88 eV/atom
- Calculated density: 5.54 g cm⁻³
- DOS at the Fermi energy: 0.421 states/eV per atom


# 3
This record from Alexandria describes SnH2PbCl8 after structural relaxation. The functional is GGA-PBE.

Unit cell a=7.108 b=6.873 c=8.090 alpha=93.49 beta=88.73 gamma=92.41
Sites, in units of the cell vectors:
Cl1 0.878 0.222 0.231
Cl2 0.280 0.218 0.976
Pb1 0.000 0.000 0.500
Cl3 0.167 0.813 0.204
Cl4 0.338 0.264 0.571
Cl5 0.662 0.736 0.429
Cl6 0.720 0.782 0.024
H1 0.315 0.246 0.736
Cl7 0.122 0.778 0.769
Cl8 0.833 0.187 0.796
H2 0.685 0.754 0.264
Sn1 0.000 0.000 0.000

- SG: No. 2
- Total DFT energy (no corrections): -3.27 eV/atom
- Calculated density: 2.58 g cm⁻³
- DOS at the Fermi energy: 0.000 states/eV per atom


Repeat the second record exactly.
This record from Alexandria describes H2PbSeCl after structural relaxation. The functional is GGA-PBE.

Unit cell a=4.031 b=4.031 c=5.966 alpha=90.00 beta=90.00 gamma=90.00
Sites, in units of the cell vectors:
H1 0.500 0.000 0.000
Cl1 0.500 0.500 0.500
H2 0.000 0.500 0.000
Pb1 0.000 0.000 0.000
Se1 0.000 0.000 0.500

- SG: No. 123
- Total DFT energy (no corrections): -2.88 eV/atom
- Calculated density: 5.54 g cm⁻³
- DOS at the Fermi energy: 0.421 states/eV per atom


> Look up the total DFT energy (no corrections) of the third one.

-3.27 eV/atom